A plane-wave DFT calculation with SCAN was carried out for Ba21Al40 at its PBEsol-relaxed geometry.

Calculated values
* total energy: -18.96 eV/atom
* ΔH_f (0 K): -0.27 eV/atom
* space group: P31m, No. 157

Lattice parameters (Å, degrees): 10.473 10.473 17.116 90.00 90.00 120.00
Fractional coordinates of all 61 atoms:
Ba 0.000 0.000 0.068
Ba 0.000 0.000 0.284
Ba 0.000 0.322 0.785
Ba 0.000 0.329 0.391
Ba 0.000 0.331 0.000
Ba 0.000 0.665 0.499
Ba 0.000 0.672 0.712
Ba 0.322 0.000 0.785
Ba 0.328 0.328 0.712
Ba 0.329 0.000 0.391
Ba 0.331 0.000 0.000
Ba 0.333 0.667 0.071
Ba 0.333 0.667 0.286
Ba 0.335 0.335 0.499
Ba 0.665 0.000 0.499
Ba 0.667 0.333 0.071
Ba 0.667 0.333 0.286
Ba 0.669 0.669 0.000
Ba 0.671 0.671 0.391
Ba 0.672 0.000 0.712
Ba 0.678 0.678 0.785
Al 0.000 0.000 0.491
Al 0.000 0.000 0.697
Al 0.000 0.000 0.855
Al 0.000 0.197 0.597
Al 0.000 0.490 0.180
Al 0.000 0.665 0.296
Al 0.000 0.667 0.059
Al 0.000 0.763 0.912
Al 0.157 0.333 0.180
Al 0.164 0.502 0.608
Al 0.176 0.843 0.180
Al 0.180 0.659 0.884
Al 0.197 0.000 0.597
Al 0.237 0.237 0.912
Al 0.333 0.157 0.180
Al 0.333 0.333 0.059
Al 0.333 0.667 0.487
Al 0.333 0.667 0.741
Al 0.335 0.335 0.296
Al 0.337 0.836 0.608
Al 0.341 0.520 0.884
Al 0.480 0.820 0.884
Al 0.490 0.000 0.180
Al 0.498 0.663 0.608
Al 0.502 0.164 0.608
Al 0.510 0.510 0.180
Al 0.520 0.341 0.884
Al 0.659 0.180 0.884
Al 0.663 0.498 0.608
Al 0.665 0.000 0.296
Al 0.667 0.000 0.059
Al 0.667 0.333 0.487
Al 0.667 0.333 0.741
Al 0.667 0.824 0.180
Al 0.763 0.000 0.912
Al 0.803 0.803 0.597
Al 0.820 0.480 0.884
Al 0.824 0.667 0.180
Al 0.836 0.337 0.608
Al 0.843 0.176 0.180